# K2MoIO6, optimized geometry, DFT GGA+U
# space-group type: I4/mmm
# final energy: -52.45 eV/cell
# calculated density: 4.2 g/cm³
# spin magnetization: 0.00 μB/cell
data_K2MoIO6
_chemical_formula_sum 'K2 Mo1 I1 O6'
_symmetry_space_group_name_H-M 'P 1'
_symmetry_Int_Tables_number 1
_cell_length_a 6.2816
_cell_length_b 6.2816
_cell_length_c 6.2816
_cell_angle_alpha 125.92
_cell_angle_beta 125.92
_cell_angle_gamma 80.02
loop_
_symmetry_equiv_pos_as_xyz
'x,y,z'
loop_
_atom_site_label
_atom_site_type_symbol
_atom_site_fract_x
_atom_site_fract_y
_atom_site_fract_z
K1 K 0.2500 0.7500 0.5000
K2 K 0.7500 0.2500 0.5000
Mo1 Mo 0.0000 0.0000 0.0000
I1 I 0.5000 0.5000 0.0000
O1 O 0.1947 0.1947 0.0000
O2 O 0.2460 0.2460 0.4919
O3 O 0.2460 0.7540 0.0000
O4 O 0.7540 0.2460 0.0000
O5 O 0.7540 0.7540 0.5081
O6 O 0.8053 0.8053 0.0000